A plane-wave DFT calculation with PBE was carried out for a relaxed structure of ZrFe3Si2.

The structure in CIF format:
```
data_ZrFe3Si2
_chemical_formula_sum 'Zr2 Fe6 Si4'
_space_group_name_H-M_alt 'P 63/m m c'
_space_group_IT_number 194
_space_group_name_Hall '-P 6c 2c'
_cell_length_a 4.5566
_cell_length_b 4.5566
_cell_length_c 9.9921
_cell_angle_alpha 90.00
_cell_angle_beta 90.00
_cell_angle_gamma 120.00
loop_
_atom_site_label
_atom_site_type_symbol
_atom_site_fract_x
_atom_site_fract_y
_atom_site_fract_z
Zr1 Zr 0.0000 0.0000 0.0000
Fe1 Fe 0.1688 0.3376 0.2500
Si1 Si 0.3333 0.6667 0.6299
```

Values from the calculation:
Polymorph energy (0 for the lowest one) in eV/f.u.: 3.26
DOS(E_F) in states/eV per cell: 11.7



A plane-wave DFT calculation with PBE was carried out for a relaxed structure of Sr2PmHg5.

The structure in CIF format:
```
data_Sr2PmHg5
_chemical_formula_sum 'Sr4 Pm2 Hg10'
_space_group_name_H-M_alt 'I 4/m m m'
_space_group_IT_number 139
_space_group_name_Hall '-I 4 2'
_cell_length_a 5.4841
_cell_length_b 5.4841
_cell_length_c 15.1002
_cell_angle_alpha 90.00
_cell_angle_beta 90.00
_cell_angle_gamma 90.00
loop_
_atom_site_label
_atom_site_type_symbol
_atom_site_fract_x
_atom_site_fract_y
_atom_site_fract_z
Sr1 Sr 0.0000 0.0000 0.2366
Pm1 Pm 0.0000 0.0000 0.5000
Hg1 Hg 0.0000 0.0000 0.0000
Hg2 Hg 0.0000 0.5000 0.1161
```

Values from the calculation:
Energy relative to the elements in meV per atom: -439
DOS(E_F) in states/eV per cell: 10.0



A plane-wave DFT calculation with PBE was carried out for a relaxed structure of Ni2HgSe.

The structure in CIF format:
```
data_Ni2HgSe
_chemical_formula_sum 'Ni6 Hg3 Se3'
_space_group_name_H-M_alt 'R 3 m'
_space_group_IT_number 160
_space_group_name_Hall 'R 3 -2"'
_cell_length_a 3.6761
_cell_length_b 3.6761
_cell_length_c 19.4073
_cell_angle_alpha 90.00
_cell_angle_beta 90.00
_cell_angle_gamma 120.00
loop_
_atom_site_label
_atom_site_type_symbol
_atom_site_fract_x
_atom_site_fract_y
_atom_site_fract_z
Ni1 Ni 0.0000 0.0000 0.0000
Ni2 Ni 0.0000 0.0000 0.2749
Hg1 Hg 0.0000 0.0000 0.5234
Se1 Se 0.0000 0.0000 0.7105
```

Values from the calculation:
Total DFT energy (no corrections) in eV/atom: -3.719
DOS(E_F) in states/eV per cell: 7.8



A plane-wave DFT calculation with PBE was carried out for a relaxed structure of KMgGeO4.

The structure in CIF format:
```
data_KMgGeO4
_chemical_formula_sum 'K2 Mg2 Ge2 O8'
_space_group_name_H-M_alt 'I -4'
_space_group_IT_number 82
_space_group_name_Hall 'I -4'
_cell_length_a 5.5382
_cell_length_b 5.5382
_cell_length_c 8.6835
_cell_angle_alpha 90.00
_cell_angle_beta 90.00
_cell_angle_gamma 90.00
loop_
_atom_site_label
_atom_site_type_symbol
_atom_site_fract_x
_atom_site_fract_y
_atom_site_fract_z
K1 K 0.0000 0.0000 0.0000
Mg1 Mg 0.0000 0.5000 0.7500
Ge1 Ge 0.0000 0.0000 0.5000
O1 O 0.1046 0.2411 0.6152
```

Values from the calculation:
Total DFT energy (no corrections) in eV/atom: -5.608
DOS(E_F) in states/eV per cell: 11.4



A plane-wave DFT calculation with PBE was carried out for a relaxed structure of Tl2SiAg.

The structure in CIF format:
```
data_Tl2SiAg
_chemical_formula_sum 'Tl8 Si4 Ag4'
_space_group_name_H-M_alt 'F m -3 m'
_space_group_IT_number 225
_space_group_name_Hall '-F 4 2 3'
_cell_length_a 7.2233
_cell_length_b 7.2233
_cell_length_c 7.2233
_cell_angle_alpha 90.00
_cell_angle_beta 90.00
_cell_angle_gamma 90.00
loop_
_atom_site_label
_atom_site_type_symbol
_atom_site_fract_x
_atom_site_fract_y
_atom_site_fract_z
Tl1 Tl 0.2500 0.2500 0.2500
Si1 Si 0.0000 0.0000 0.0000
Ag1 Ag 0.0000 0.0000 0.5000
```

Values from the calculation:
Polymorph energy (0 for the lowest one) in eV/f.u.: 0.62
DOS(E_F) in states/eV per cell: 14.1



A plane-wave DFT calculation with PBE was carried out for a relaxed structure of ZrNiSbI2.

The structure in CIF format:
```
data_ZrNiSbI2
_chemical_formula_sum 'Zr1 Ni1 Sb1 I2'
_space_group_name_H-M_alt 'P 4/m m m'
_space_group_IT_number 123
_space_group_name_Hall '-P 4 2'
_cell_length_a 5.0570
_cell_length_b 5.0570
_cell_length_c 5.2231
_cell_angle_alpha 90.00
_cell_angle_beta 90.00
_cell_angle_gamma 90.00
loop_
_atom_site_label
_atom_site_type_symbol
_atom_site_fract_x
_atom_site_fract_y
_atom_site_fract_z
Zr1 Zr 0.0000 0.0000 0.0000
Ni1 Ni 0.5000 0.5000 0.5000
Sb1 Sb 0.5000 0.5000 0.0000
I1 I 0.0000 0.5000 0.5000
```

Values from the calculation:
Polymorph energy (0 for the lowest one) in eV/f.u.: 0.00
DOS(E_F) in states/eV per cell: 5.7



A plane-wave DFT calculation with PBE was carried out for a relaxed structure of RbYScTe3.

The structure in CIF format:
```
data_RbYScTe3
_chemical_formula_sum 'Rb2 Y2 Sc2 Te6'
_space_group_name_H-M_alt 'P 1 21/m 1'
_space_group_IT_number 11
_space_group_name_Hall '-P 2yb'
_cell_length_a 9.8939
_cell_length_b 4.6019
_cell_length_c 10.8615
_cell_angle_alpha 90.00
_cell_angle_beta 109.11
_cell_angle_gamma 90.00
loop_
_atom_site_label
_atom_site_type_symbol
_atom_site_fract_x
_atom_site_fract_y
_atom_site_fract_z
Rb1 Rb 0.2089 0.2500 0.2358
Y1 Y 0.3376 0.7500 0.8660
Sc1 Sc 0.0858 0.2500 0.6080
Te1 Te 0.1197 0.2500 0.8727
Te2 Te 0.2177 0.7500 0.5467
Te3 Te 0.4645 0.7500 0.1620
```

Values from the calculation:
Total DFT energy (no corrections) in eV/atom: -5.091
DOS(E_F) in states/eV per cell: 5.9



A plane-wave DFT calculation with PBE was carried out for a relaxed structure of BaTeHN2.

The structure in CIF format:
```
data_BaTeHN2
_chemical_formula_sum 'Ba1 Te1 H1 N2'
_space_group_name_H-M_alt 'P 4/m m m'
_space_group_IT_number 123
_space_group_name_Hall '-P 4 2'
_cell_length_a 5.4823
_cell_length_b 5.4823
_cell_length_c 7.0559
_cell_angle_alpha 90.00
_cell_angle_beta 90.00
_cell_angle_gamma 90.00
loop_
_atom_site_label
_atom_site_type_symbol
_atom_site_fract_x
_atom_site_fract_y
_atom_site_fract_z
Ba1 Ba 0.0000 0.0000 0.0000
Te1 Te 0.0000 0.0000 0.5000
H1 H 0.5000 0.5000 0.5000
N1 N 0.0000 0.5000 0.0000
```

Values from the calculation:
Polymorph energy (0 for the lowest one) in eV/f.u.: 3.61
DOS(E_F) in states/eV per cell: 3.2